(1)
DFT (GGA-PBE) results for crystalline Tl2TcBr at its relaxed geometry.

abc: 3.473 5.367 5.496
angles: 90.00 95.80 90.00
Space group P2/m (No. 10)
Inequivalent atoms, fractional coordinates:
1 Tl 0.189 0.000 0.262 x2
2 Tc 0.500 0.500 0.500 x1
3 Br 0.500 0.500 0.000 x1

## Properties
The total moment is 2.6 μB per cell. Its energy relative to the lowest polymorph listed for this composition is 0.302 eV/atom. For the formation energy without anion corrections, the calculation gives 643 meV/atom.

***

(2)
DFT (GGA-PBE) results for crystalline Rb2ZnHg6 at its relaxed geometry.

abc: 10.506 10.506 10.506
angles: 90.00 90.00 90.00
Space group Fm-3m (No. 225)
Inequivalent atoms, fractional coordinates:
1 Rb 0.250 0.250 0.250 x8
2 Zn 0.000 0.000 0.000 x4
3 Hg 0.000 0.000 0.275 x24

## Properties
The total moment is 0.0 μB per cell. For the formation energy from the elements, the calculation gives -0.142 eV/atom.

***

(3)
DFT (GGA-PBE) results for crystalline Li2Tm2HfSe6 at its relaxed geometry.

abc: 6.885 11.827 6.880
angles: 90.00 108.91 90.00
Space group C2/m (No. 12)
Inequivalent atoms, fractional coordinates:
1 Li 0.000 0.165 0.000 x4
2 Tm 0.000 0.334 0.500 x4
3 Hf 0.000 0.000 0.500 x2
4 Se 0.237 0.000 0.257 x4
5 Se 0.239 0.161 0.744 x8

## Properties
The total moment is 0.0 μB per cell. For the formation energy without anion corrections, the calculation gives -1584 meV/atom.

***

(4)
DFT (GGA-PBE) results for crystalline Ce2NiH at its relaxed geometry.

abc: 3.6273 3.6273 19.3376
angles: 90.00 90.00 120.00
Space group R3m (No. 160, hexagonal axes)
Inequivalent atoms, fractional coordinates:
1 Ce 0.0000 0.0000 0.0000 x3
2 Ce 0.0000 0.0000 0.1534 x3
3 Ni 0.0000 0.0000 0.5753 x3
4 H 0.0000 0.0000 0.4096 x3

## Properties
The total moment is 2.3 μB per cell. Its energy relative to the lowest polymorph listed for this composition is 0.019 eV/atom.

***

(5)
DFT (GGA-PBE) results for crystalline La3SmDy4Se8 at its relaxed geometry.

abc: 8.2963 8.2963 20.7547
angles: 90.00 90.00 120.00
Space group R-3m (No. 166, hexagonal axes)
Inequivalent atoms, fractional coordinates:
1 La 0.0000 0.5000 0.0000 x9
2 Sm 0.0000 0.0000 0.0000 x3
3 Dy 0.0000 0.0000 0.5000 x3
4 Dy 0.0000 0.5000 0.5000 x9
5 Se 0.0000 0.0000 0.2435 x6
6 Se 0.0040 0.5020 0.7554 x18

## Properties
The total moment is 0.0 μB per cell. For the formation energy without anion corrections, the calculation gives -1852 meV/atom.

***

(6)
DFT (GGA-PBE) results for crystalline LiGdThNi at its relaxed geometry.

abc: 7.082 7.082 7.082
angles: 90.00 90.00 90.00
Space group F-43m (No. 216)
Inequivalent atoms, fractional coordinates:
1 Li 0.000 0.000 0.000 x4
2 Gd 0.250 0.250 0.250 x4
3 Th 0.250 0.250 0.750 x4
4 Ni 0.000 0.000 0.500 x4

## Properties
The total moment is 30.2 μB per cell. For the formation energy from the elements, the calculation gives -0.013 eV/atom.

***

(7)
DFT (GGA-PBE) results for crystalline GaRePS2 at its relaxed geometry.

abc: 4.592 4.592 4.671
angles: 90.00 90.00 90.00
Space group P4/mmm (No. 123)
Inequivalent atoms, fractional coordinates:
1 Ga 0.000 0.000 0.000 x1
2 Re 0.500 0.500 0.500 x1
3 P 0.000 0.000 0.500 x1
4 S 0.000 0.500 0.000 x2

## Properties
The total moment is 3.0 μB per cell. Its energy relative to the lowest polymorph listed for this composition is 1.025 eV/atom. For the formation energy without anion corrections, the calculation gives 1363 meV/atom.

***

(8)
DFT (GGA-PBE) results for crystalline ReTcHW2 at its relaxed geometry.

abc: 4.022 4.022 3.971
angles: 90.00 90.00 90.00
Space group P4/mmm (No. 123)
Inequivalent atoms, fractional coordinates:
1 Re 0.000 0.000 0.000 x1
2 Tc 0.500 0.500 0.000 x1
3 H 0.000 0.000 0.500 x1
4 W 0.000 0.500 0.500 x2

## Properties
The total moment is 0.0 μB per cell. Its energy relative to the lowest polymorph listed for this composition is 0.031 eV/atom.

***

- Which value of total moment does entry 3 give?
  0.0 μB per cell